A plane-wave DFT calculation with GGA-PBE was carried out for an optimized crystal structure of Pa2Sn2BIr4.

Results
**Energy of formation**: -1.9 eV per formula unit
**Symmetry**: I4/mmm, No. 139
**Theoretical density**: 14.6 g cm⁻³

Cell: 6.265 6.265 6.265 Å, 86.71 121.92 121.92°
Fractional positions:
Pa  0.000  0.297  0.297
Pa  0.000  0.703  0.703
B  0.000  0.000  0.000
Ir  0.496  0.248  0.248
Ir  0.504  0.752  0.752
Ir  0.000  0.248  0.752
Ir  0.000  0.752  0.248
Sn  0.500  0.250  0.750
Sn  0.500  0.750  0.250